(1)
Here is a relaxed MgTc2Au crystal from Alexandria. Energies are from PBE.

Output
Size of the total moment = 0.00 μB per cell
Energy of formation = 404.2 meV per atom
Density of states at the Fermi level = 7.9 states/eV per cell
Distance to the lowest polymorph of the same formula = 446.3 meV per atom

Cell lengths 9.5929, 9.5929, 9.5929 Å; angles 16.84, 16.84, 16.84 degrees
Element x y z (fractional)
Mg 0.0000 0.0000 0.0000
Tc 0.2501 0.2501 0.2501
Tc 0.7499 0.7499 0.7499
Au 0.5000 0.5000 0.5000



(2)
Here is a relaxed MgTcAu2 crystal from Alexandria. Energies are from PBE.

Output
Size of the total moment = 0.00 μB per cell
Energy of formation = 45.3 meV per atom
Density of states at the Fermi level = 3.1 states/eV per cell
Distance to the lowest polymorph of the same formula = 63.1 meV per atom

Cell lengths 2.7929, 4.1024, 5.8854 Å; angles 90.00, 90.22, 90.00 degrees
Element x y z (fractional)
Mg 0.0000 0.0000 0.0000
Tc 0.0000 0.0000 0.5000
Au 0.4995 0.5000 0.2556
Au 0.5005 0.5000 0.7444



Question: size of the total moment of number 2 (MgTcAu2)?
Answer: 0.00 μB per cell